1.
Material: Ti4FePd3
Method: DFT, GGA-PBE
State: relaxed

The value obtained for the density of states at the Fermi level is 0.9819 states/eV per atom.

It has space group P4/mmm (No. 123), with a = 2.878 Å, b = 2.878 Å, c = 14.492 Å, α = 90.00°, β = 90.00° and γ = 90.00°. The asymmetric unit holds Ti at (0.000, 0.000, 0.104), Ti at (0.000, 0.000, 0.369), Fe at (0.500, 0.500, 0.000), Pd at (0.500, 0.500, 0.235) and Pd at (0.500, 0.500, 0.500).


2.
Material: BeAlH2
Method: DFT, GGA-PBE
State: relaxed

Its offset from the most stable computed form is 98.9 meV per atom. The value obtained for the density of states at the Fermi level is 0.0692 states/eV per atom.

It has space group P1 (No. 1), with a = 2.664 Å, b = 2.679 Å, c = 5.283 Å, α = 91.27°, β = 91.32° and γ = 99.31°. The asymmetric unit holds Be at (0.000, 0.000, 0.000), Al at (0.206, 0.734, 0.498), H at (0.003, 0.514, 0.138) and H at (0.487, 0.996, 0.863).


3.
Material: CrAsSe2Br
Method: DFT, GGA-PBE
State: relaxed

Its offset from the most stable computed form is 0.0 meV per atom. The value obtained for the density of states at the Fermi level is 0.7616 states/eV per atom. As for the uncorrected formation energy: 228.1 meV per atom.

It has space group P4/mmm (No. 123), with a = 4.626 Å, b = 4.626 Å, c = 5.038 Å, α = 90.00°, β = 90.00° and γ = 90.00°. The asymmetric unit holds Cr at (0.000, 0.000, 0.000), As at (0.000, 0.000, 0.500), Se at (0.000, 0.500, 0.000) and Br at (0.500, 0.500, 0.500).


4.
Material: Al4Os
Method: DFT, GGA-PBE
State: relaxed

Its offset from the most stable computed form is 447.7 meV per atom. The value obtained for the density of states at the Fermi level is 0.2784 states/eV per atom.

It has space group Pm-3m (No. 221), with a = 4.777 Å, b = 4.777 Å, c = 4.777 Å, α = 90.00°, β = 90.00° and γ = 90.00°. The asymmetric unit holds Al at (0.000, 0.000, 0.000), Al at (0.000, 0.500, 0.500) and Os at (0.500, 0.500, 0.500).


5.
Material: Ti2InTe6
Method: DFT, GGA-PBE
State: relaxed

The value obtained for the density of states at the Fermi level is 0.5880 states/eV per atom. As for the uncorrected formation energy: -365.6 meV per atom.

It has space group P4_2/mnm (No. 136), with a = 6.744 Å, b = 6.744 Å, c = 12.321 Å, α = 90.00°, β = 90.00° and γ = 90.00°. The asymmetric unit holds Ti at (0.000, 0.000, 0.161), In at (0.000, 0.000, 0.500), Te at (0.192, 0.192, 0.000) and Te at (0.207, 0.207, 0.317).


6.
Material: KEuHg
Method: DFT, GGA-PBE
State: relaxed

The value obtained for the density of states at the Fermi level is 3.8602 states/eV per atom.

It has space group I4mm (No. 107), with a = 4.059 Å, b = 4.059 Å, c = 14.947 Å, α = 90.00°, β = 90.00° and γ = 90.00°. The asymmetric unit holds K at (0.000, 0.000, 0.000), Eu at (0.000, 0.000, 0.266) and Hg at (0.000, 0.000, 0.660).


7.
Material: CuNiW
Method: DFT, GGA-PBE
State: relaxed

Its offset from the most stable computed form is 160.6 meV per atom. The value obtained for the density of states at the Fermi level is 1.4255 states/eV per atom.

It has space group P3m1 (No. 156), with a = 2.7029 Å, b = 2.7029 Å, c = 6.3785 Å, α = 90.00°, β = 90.00° and γ = 120.00°. The asymmetric unit holds Cu at (0.0000, 0.0000, 0.0000), Ni at (0.6667, 0.3333, 0.3182) and W at (0.3333, 0.6667, 0.6449).


8.
Material: TiSb2As2
Method: DFT, GGA-PBE
State: relaxed

The value obtained for the density of states at the Fermi level is 0.7057 states/eV per atom. As for the uncorrected formation energy: 19.3 meV per atom.

It has space group P4/mbm (No. 127), with a = 6.930 Å, b = 6.930 Å, c = 4.639 Å, α = 90.00°, β = 90.00° and γ = 90.00°. The asymmetric unit holds Ti at (0.000, 0.000, 0.000), Sb at (0.168, 0.332, 0.500) and As at (0.156, 0.656, 0.000).


| no. | total magnetic moment (μB/cell) | energy (eV/atom) |
| --- | --- | --- |
| 1 | 0.69 | -7.45 |
| 2 | 0.00 | -3.32 |
| 3 | 0.10 | -4.35 |
| 4 | 0.00 | -5.06 |
| 5 | 0.00 | -4.52 |
| 6 | 15.21 | -4.09 |
| 7 | 0.00 | -7.35 |
| 8 | 0.00 | -5.07 |